Here is an optimized crystal structure of LiSm2Ga from the Alexandria database. Energies are from PBE-GGA.

ρ (Mg/m³): 6.27
Energy relative to the elements (eV/atom): -0.28
Electronic total energy (eV for the cell shown): -15.5
Space group: P4/mmm, No. 123
DOS(E_F) (states/eV per cell): 3.60

Geometry as POSCAR:
```
LiSm2Ga
1.0
-1.325 3.037 -1.851
-3.932 -2.787 -1.758
-2.767 1.304 4.119
Ga Li Sm
1 1 2
direct
0.500 0.000 0.000 Ga
0.500 0.500 0.500 Li
0.000 0.000 0.500 Sm
0.000 0.500 0.000 Sm
```

Here is an optimized crystal structure of Sm6Ho12Mg from the Alexandria database. Energies are from PBE-GGA.

ρ (Mg/m³): 7.71
Energy relative to the elements (eV/atom): 0.14
Electronic total energy (eV for the cell shown): -82.3
Space group: R-3m, No. 166
Offset from the most stable computed form (meV per atom): 5
DOS(E_F) (states/eV per cell): 30.84

Geometry as POSCAR:
```
Sm6Ho12Mg
1.0
-7.023 4.354 -2.491
-2.438 -7.765 -2.872
-2.262 -1.115 8.254
Ho Sm Mg
12 6 1
direct
0.738 0.000 0.262 Ho
0.262 0.738 0.000 Ho
0.166 0.591 0.591 Ho
0.738 0.262 0.000 Ho
0.000 0.738 0.262 Ho
0.409 0.834 0.409 Ho
0.591 0.591 0.166 Ho
0.409 0.409 0.834 Ho
0.591 0.166 0.591 Ho
0.000 0.262 0.738 Ho
0.262 0.000 0.738 Ho
0.834 0.409 0.409 Ho
0.135 0.408 0.135 Sm
0.865 0.865 0.592 Sm
0.408 0.135 0.135 Sm
0.865 0.592 0.865 Sm
0.135 0.135 0.408 Sm
0.592 0.865 0.865 Sm
0.000 0.000 0.000 Mg
```

Here is an optimized crystal structure of Pm15PrY4 from the Alexandria database. Energies are from PBE-GGA.

ρ (Mg/m³): 6.51
Energy relative to the elements (eV/atom): 0.01
Electronic total energy (eV for the cell shown): -101.6
Space group: P4/mmm, No. 123
DOS(E_F) (states/eV per cell): 28.50

Geometry as POSCAR:
```
Pm15PrY4
1.0
-2.746 -2.822 -3.320
0.970 -4.222 2.786
-21.185 4.290 13.876
Pm Y Pr
15 4 1
direct
0.500 0.500 0.798 Pm
0.500 0.500 0.400 Pm
0.500 0.000 0.699 Pm
0.500 0.000 0.101 Pm
0.500 0.000 0.500 Pm
0.500 0.000 0.899 Pm
0.500 0.500 0.202 Pm
0.000 0.500 0.699 Pm
0.000 0.500 0.301 Pm
0.000 0.500 0.899 Pm
0.500 0.500 0.600 Pm
0.500 0.500 0.000 Pm
0.500 0.000 0.301 Pm
0.000 0.500 0.101 Pm
0.000 0.500 0.500 Pm
0.000 0.000 0.201 Y
0.000 0.000 0.400 Y
0.000 0.000 0.799 Y
0.000 0.000 0.600 Y
0.000 0.000 0.000 Pr
```

Here is an optimized crystal structure of SrMnAg2 from the Alexandria database. Energies are from PBE-GGA.

ρ (Mg/m³): 6.02
Energy relative to the elements (eV/atom): 0.21
Electronic total energy (eV for the cell shown): -15.7
Space group: Pm, No. 6
DOS(E_F) (states/eV per cell): 2.57

Geometry as POSCAR:
```
SrMnAg2
1.0
-1.212 3.204 -2.788
-1.334 -2.481 -2.272
-6.148 -0.845 1.701
Mn Ag Sr
1 2 1
direct
0.000 0.497 0.384 Mn
0.500 0.040 0.299 Ag
0.000 0.175 0.024 Ag
0.500 0.788 0.793 Sr
```

Here is an optimized crystal structure of CrNi2Pb from the Alexandria database. Energies are from PBE-GGA.

ρ (Mg/m³): 10.24
Energy relative to the elements (eV/atom): 0.29
Electronic total energy (eV for the cell shown): -23.7
Space group: P2/m, No. 10
DOS(E_F) (states/eV per cell): 2.78

Geometry as POSCAR:
```
CrNi2Pb
1.0
3.113 0.000 0.000
0.000 3.153 -0.001
0.000 3.171 6.222
Ni Cr Pb
2 1 1
direct
0.000 0.448 0.553 Ni
0.000 0.052 0.947 Ni
0.500 0.750 0.750 Cr
0.500 0.250 0.250 Pb
```

Here is an optimized crystal structure of ZrMo2As from the Alexandria database. Energies are from PBE-GGA.

ρ (Mg/m³): 8.23
Energy relative to the elements (eV/atom): 0.16
Electronic total energy (eV for the cell shown): -34.2
Space group: R-3m, No. 166
DOS(E_F) (states/eV per cell): 3.24

Geometry as POSCAR:
```
ZrMo2As
1.0
-0.162 -7.979 -1.674
2.829 -7.633 -0.474
0.311 -8.003 1.533
Mo Zr As
2 1 1
direct
0.991 0.991 0.991 Mo
0.509 0.509 0.509 Mo
0.750 0.750 0.750 Zr
0.250 0.250 0.250 As
```

Q: Which value of energy relative to the elements does entry 2 give?
A: 0.14 eV/atom

Q: Number 2 is which compound?
A: Sm6Ho12Mg

Q: Look up the electronic total energy of the first one.
A: -15.5 eV for the cell shown